Material: Fe2MoAu
Method: DFT, PBE-GGA
State: optimized geometry

Formation enthalpy at 0 K   0.16 eV/atom
Energy   -30.4 eV for the cell shown
Space-group type   P4mm (99)
Polymorph energy (0 for the lowest one)   0 meV/atom

a b c (Å): 2.854 2.854 7.003
angles (deg): 90.00 90.00 90.00
Fractional coordinates of all 4 atoms:
Fe 0.000 0.000 0.000
Fe 0.500 0.500 0.198
Mo 0.000 0.000 0.427
Au 0.500 0.500 0.732